Record 1
The following is a GGA-PBEsol calculation of a relaxed structure of CoGeB3, from Alexandria via LeMat-Bulk.

```
CoGeB3
1.0
3.7978 0.0000 0.0000
0.0000 3.7978 0.0000
0.0000 0.0000 3.7978
Co Ge B
1 1 3
Direct
0.0000 0.0000 0.0000
0.5000 0.5000 0.5000
0.0000 0.0000 0.5000
0.0000 0.5000 0.0000
0.5000 0.0000 0.0000
```

Results
Symmetry: Pm-3m (221)
Magnetic moment (μB per cell): 0.0
DFT total energy (eV per atom): -5.79
Energy relative to the elements (eV/atom): 0.96

Record 2
The following is a GGA-PBEsol calculation of a relaxed structure of CsAsSe2N, from Alexandria via LeMat-Bulk.

```
CsAsSe2N
1.0
5.6341 0.0000 0.0000
0.0000 5.6341 0.0000
0.0000 0.0000 4.2165
Cs As Se N
1 1 2 1
Direct
0.0000 0.0000 0.0000
0.5000 0.5000 0.5000
0.0000 0.5000 0.0000
0.5000 0.0000 0.0000
0.0000 0.0000 0.5000
```

Results
Formation energy from raw total energies (eV/atom): 1.969
Symmetry: P4/mmm (123)
Magnetic moment (μB per cell): 0.8
DFT total energy (eV per atom): -2.49

Record 3
The following is a GGA-PBEsol calculation of a relaxed structure of CrCo2Se, from Alexandria via LeMat-Bulk.

```
CrCo2Se
1.0
-1.7915 1.7915 3.6076
1.7915 -1.7915 3.6076
1.7915 1.7915 -3.6076
Cr Co Se
1 2 1
Direct
0.0000 0.0000 0.0000
0.2500 0.7500 0.5000
0.7500 0.2500 0.5000
0.5000 0.5000 0.0000
```

Results
Formation energy from raw total energies (eV/atom): 0.223
Symmetry: I4/mmm (139)
Magnetic moment (μB per cell): 1.5
DFT total energy (eV per atom): -7.17

Record 4
The following is a GGA-PBEsol calculation of a relaxed structure of CaMg2Ag, from Alexandria via LeMat-Bulk.

```
CaMg2Ag
1.0
-1.7222 2.6142 5.2688
1.7222 -2.6142 5.2688
1.7222 2.6142 -5.2688
Ca Mg Ag
1 2 1
Direct
0.0000 0.0000 0.0000
0.2871 0.7871 0.5000
0.7129 0.2129 0.5000
0.5000 0.5000 0.0000
```

Results
Symmetry: Immm (71)
Magnetic moment (μB per cell): 0.0
DFT total energy (eV per atom): -2.36
Energy relative to the elements (eV/atom): -0.14

Record 5
The following is a GGA-PBEsol calculation of a relaxed structure of FeCoBr2, from Alexandria via LeMat-Bulk.

```
FeCoBr2
1.0
-1.7696 1.7696 5.6878
1.7696 -1.7696 5.6878
1.7696 1.7696 -5.6878
Fe Co Br
1 1 2
Direct
0.0000 0.0000 0.0000
0.2500 0.7500 0.5000
0.5000 0.5000 0.0000
0.7500 0.2500 0.5000
```

Results
Formation energy from raw total energies (eV/atom): 0.650
Symmetry: I-4m2 (119)
Magnetic moment (μB per cell): 4.9
DFT total energy (eV per atom): -4.46

Record 6
The following is a GGA-PBEsol calculation of a relaxed structure of In2CuSi, from Alexandria via LeMat-Bulk.

```
In2CuSi
1.0
-2.0048 2.0048 4.6828
2.0048 -2.0048 4.6828
2.0048 2.0048 -4.6828
In Cu Si
2 1 1
Direct
0.0000 0.0000 0.0000
0.7500 0.2500 0.5000
0.2500 0.7500 0.5000
0.5000 0.5000 0.0000
```

Results
Formation energy from raw total energies (eV/atom): 0.331
Symmetry: I-4m2 (119)
Magnetic moment (μB per cell): 0.0
DFT total energy (eV per atom): -3.68

Record 7
The following is a GGA-PBEsol calculation of a relaxed structure of CaScIr, from Alexandria via LeMat-Bulk.

```
CaScIr
1.0
-1.6211 1.6211 6.3567
1.6211 -1.6211 6.3567
1.6211 1.6211 -6.3567
Ca Sc Ir
1 1 1
Direct
0.0000 0.0000 0.0000
0.2588 0.2588 0.0000
0.6512 0.6512 0.0000
```

Results
Symmetry: I4mm (107)
Magnetic moment (μB per cell): 0.0
DFT total energy (eV per atom): -6.66
Energy relative to the elements (eV/atom): -0.48

Record 8
The following is a GGA-PBEsol calculation of a relaxed structure of Ca2NiBr, from Alexandria via LeMat-Bulk.

```
Ca2NiBr
1.0
2.4532 -2.4569 0.0000
2.4532 2.4569 0.0000
0.0000 0.0000 7.5528
Ca Ni Br
2 1 1
Direct
0.0000 0.0000 0.2131
0.0000 0.0000 0.7869
0.5000 0.5000 0.0000
0.5000 0.5000 0.5000
```

Results
Formation energy from raw total energies (eV/atom): -0.666
Symmetry: Cmmm (65)
Magnetic moment (μB per cell): 0.0
DFT total energy (eV per atom): -3.74

Record 9
The following is a GGA-PBEsol calculation of a relaxed structure of NbTcRu2Au, from Alexandria via LeMat-Bulk.

```
NbTcRu2Au
1.0
4.4462 0.0000 0.0000
0.0000 4.4462 0.0000
0.0000 0.0000 4.9055
Nb Tc Ru Au
1 1 2 1
Direct
0.0000 0.0000 0.0000
0.5000 0.5000 0.5000
0.0000 0.5000 0.5000
0.5000 0.0000 0.5000
0.5000 0.5000 0.0000
```

Results
Symmetry: P4/mmm (123)
Magnetic moment (μB per cell): 1.1
DFT total energy (eV per atom): -7.64
Energy relative to the elements (eV/atom): 1.63

Record 10
The following is a GGA-PBEsol calculation of a relaxed structure of MgSc2Re, from Alexandria via LeMat-Bulk.

```
MgSc2Re
1.0
0.0000 3.3133 3.3133
3.3133 0.0000 3.3133
3.3133 3.3133 0.0000
Mg Sc Re
1 2 1
Direct
0.0000 0.0000 0.0000
0.2500 0.2500 0.2500
0.5000 0.5000 0.5000
0.7500 0.7500 0.7500
```

Results
Symmetry: F-43m (216)
Magnetic moment (μB per cell): 0.0
DFT total energy (eV per atom): -6.85
Energy relative to the elements (eV/atom): 0.22

Record 11
The following is a GGA-PBEsol calculation of a relaxed structure of CrCoAs2Ir, from Alexandria via LeMat-Bulk.

```
CrCoAs2Ir
1.0
4.6619 0.0000 0.0000
0.0000 4.6619 0.0000
0.0000 0.0000 4.7882
Cr Co As Ir
1 1 2 1
Direct
0.0000 0.0000 0.0000
0.5000 0.5000 0.0000
0.0000 0.5000 0.5000
0.5000 0.0000 0.5000
0.0000 0.0000 0.5000
```

Results
Symmetry: P4/mmm (123)
Magnetic moment (μB per cell): 5.7
DFT total energy (eV per atom): -6.31
Energy relative to the elements (eV/atom): 1.30

Record 12
The following is a GGA-PBEsol calculation of a relaxed structure of Ni2OsRh, from Alexandria via LeMat-Bulk.

```
Ni2OsRh
1.0
2.6339 0.0000 0.0000
0.0000 2.6339 0.0000
0.0000 0.0000 7.0071
Ni Os Rh
2 1 1
Direct
0.0000 0.0000 0.0000
0.5000 0.5000 0.2297
0.0000 0.0000 0.4776
0.5000 0.5000 0.7444
```

Results
Symmetry: P4mm (99)
Magnetic moment (μB per cell): 0.3
DFT total energy (eV per atom): -8.09
Energy relative to the elements (eV/atom): 0.08